1.
Here is a geometry-optimized Bi2AsI structure from Alexandria. Energies are from PBE.

Cell lengths 9.098, 7.886, 7.984 Å; angles 90.00, 91.65, 90.00 degrees
Space group P2_1/c (No. 14)
Asymmetric unit:
1 Bi 0.158 0.204 0.423 x4
2 Bi 0.228 0.669 0.042 x4
3 As 0.058 0.606 0.326 x4
4 I 0.421 0.133 0.195 x4

Properties
The total magnetization comes out at 0.00 μB per atom. As for the theoretical density: 7.190 g/cm3.

2.
Here is a geometry-optimized Bi2AsI2 structure from Alexandria. Energies are from PBE.

Cell lengths 4.5718, 4.5718, 31.9138 Å; angles 90.00, 90.00, 120.00 degrees
Space group R-3m (No. 166, hexagonal axes)
Asymmetric unit:
1 Bi 0.0000 0.0000 0.1218 x6
2 As 0.0000 0.0000 0.5000 x3
3 I 0.0000 0.0000 0.2725 x6

Properties
The total magnetization comes out at 0.00 μB per atom. As for the theoretical density: 6.439 g/cm3.

3.
Here is a geometry-optimized BiAsI3 structure from Alexandria. Energies are from PBE.

Cell lengths 5.692, 5.692, 5.692 Å; angles 90.00, 90.00, 90.00 degrees
Space group Pm-3m (No. 221)
Asymmetric unit:
1 Bi 0.000 0.000 0.000 x1
2 As 0.500 0.500 0.500 x1
3 I 0.000 0.500 0.500 x3

Properties
The total magnetization comes out at 0.19 μB per atom. As for the theoretical density: 5.986 g/cm3.

4.
Here is a geometry-optimized La6Bi3As2I structure from Alexandria. Energies are from PBE.

Cell lengths 19.902, 4.569, 9.174 Å; angles 90.00, 102.68, 90.00 degrees
Space group C2/m (No. 12)
Asymmetric unit:
1 La 0.010 0.000 0.265 x4
2 La 0.172 0.500 0.572 x4
3 La 0.174 0.500 0.106 x4
4 Bi 0.000 0.500 0.500 x2
5 Bi 0.160 0.000 0.835 x4
6 As 0.168 0.000 0.334 x4
7 I 0.000 0.500 0.000 x2

Properties
The total magnetization comes out at 0.00 μB per atom. As for the theoretical density: 7.089 g/cm3.

Number 1: ΔE_f (raw) -56 meV/atom. Number 2: ΔE_f (raw) -146 meV/atom. Number 3: ΔE_f (raw) 328 meV/atom. Number 4: ΔE_f (raw) -1240 meV/atom.